1.
The following is a DFT calculation (meta-GGA SCAN) of a PBEsol-optimized structure of K2BrCl.

Cell: 5.4290 5.4290 5.4290 Å, 60.00 60.00 60.00°
Positions (direct):
K  0.2500  0.2500  0.2500
K  0.7500  0.7500  0.7500
Br  0.0000  0.0000  0.0000
Cl  0.5000  0.5000  0.5000

The value obtained for the raw formation energy is -2.010 eV/atom. The volume is 28.29 A^3/atom. The calculated density comes out at 2.8 g/cm³. The value obtained for the distance to the lowest polymorph of the same formula is 0.053 eV/atom.

=====

2.
The following is a DFT calculation (meta-GGA SCAN) of a PBEsol-optimized structure of K2BrCl.

Cell: 8.1752 8.1752 8.1752 Å, 31.31 31.31 31.31°
Positions (direct):
K  0.0000  0.0000  0.0000
K  0.1757  0.1757  0.1757
Br  0.4200  0.4200  0.4200
Cl  0.5889  0.5889  0.5889

The value obtained for the raw formation energy is -2.037 eV/atom. The volume is 32.74 A^3/atom. The calculated density comes out at 2.5 g/cm³. The value obtained for the distance to the lowest polymorph of the same formula is 0.026 eV/atom.

=====

3.
The following is a DFT calculation (meta-GGA SCAN) of a PBEsol-optimized structure of K2BrCl.

Cell: 7.8742 7.8742 7.8742 Å, 33.24 33.24 33.24°
Positions (direct):
K  0.2459  0.2459  0.2459
K  0.7541  0.7541  0.7541
Br  0.0000  0.0000  0.0000
Cl  0.5000  0.5000  0.5000

The value obtained for the raw formation energy is -2.063 eV/atom. The volume is 32.65 A^3/atom. The calculated density comes out at 2.5 g/cm³. The value obtained for the distance to the lowest polymorph of the same formula is 0.000 eV/atom.

=====

4.
The following is a DFT calculation (meta-GGA SCAN) of a PBEsol-optimized structure of KBrCl2.

Cell: 7.4256 7.4256 7.4256 Å, 148.48 148.48 45.18°
Positions (direct):
K  0.0000  0.0000  0.0000
Br  0.7500  0.2500  0.5000
Cl  0.2500  0.7500  0.5000
Cl  0.5000  0.5000  0.0000

The value obtained for the raw formation energy is -0.794 eV/atom. The volume is 27.89 A^3/atom. The calculated density comes out at 2.8 g/cm³.

=====

5.
The following is a DFT calculation (meta-GGA SCAN) of a PBEsol-optimized structure of KBrCl2.

Cell: 4.5940 4.5940 5.8860 Å, 90.00 90.00 90.00°
Positions (direct):
K  0.0000  0.0000  0.0000
Br  0.5000  0.5000  0.2107
Cl  0.0000  0.0000  0.5037
Cl  0.5000  0.5000  0.8314

The value obtained for the raw formation energy is -0.830 eV/atom. The volume is 31.06 A^3/atom. The calculated density comes out at 2.5 g/cm³.

=====

6.
The following is a DFT calculation (meta-GGA SCAN) of a PBEsol-optimized structure of K5Br4Cl.

Cell: 7.9385 7.9385 7.9385 Å, 99.62 99.62 131.75°
Positions (direct):
K  0.0000  0.0000  0.0000
K  0.2077  0.4031  0.6109
K  0.4031  0.7923  0.1954
K  0.5969  0.2077  0.8046
K  0.7923  0.5969  0.3891
Br  0.0979  0.7000  0.7978
Br  0.3000  0.0979  0.3979
Br  0.7000  0.9021  0.6021
Br  0.9021  0.3000  0.2022
Cl  0.5000  0.5000  0.0000

The value obtained for the raw formation energy is -1.994 eV/atom. The volume is 34.06 A^3/atom. The calculated density comes out at 2.7 g/cm³.

=====

7.
The following is a DFT calculation (meta-GGA SCAN) of a PBEsol-optimized structure of K2BrCl.

Cell: 4.5233 4.5233 6.3970 Å, 90.00 90.00 90.00°
Positions (direct):
K  0.0000  0.0000  0.0000
K  0.5000  0.5000  0.5000
Br  0.0000  0.0000  0.5000
Cl  0.5000  0.5000  0.0000

The value obtained for the raw formation energy is -2.057 eV/atom. The volume is 32.72 A^3/atom. The calculated density comes out at 2.5 g/cm³. The value obtained for the distance to the lowest polymorph of the same formula is 0.006 eV/atom.

=====

8.
The following is a DFT calculation (meta-GGA SCAN) of a PBEsol-optimized structure of KBr2Cl.

Cell: 4.4753 4.4753 6.2763 Å, 90.00 90.00 90.00°
Positions (direct):
K  0.0000  0.0000  0.0000
Br  0.0000  0.0000  0.4943
Br  0.5000  0.5000  0.7935
Cl  0.5000  0.5000  0.1586

The value obtained for the raw formation energy is -0.747 eV/atom. The volume is 31.43 A^3/atom. The calculated density comes out at 3.1 g/cm³. The value obtained for the distance to the lowest polymorph of the same formula is 0.310 eV/atom.